Crystalline NbFePb2O6 at its relaxed geometry, computed with GGA+U.

Cell: 4.047 4.047 8.147 Å, 90.00 90.00 90.00°
Positions (direct):
Pb 0.500 0.500 0.283
O 0.500 0.000 0.500
Fe 0.000 0.000 0.500
O 0.000 0.000 0.246
O 0.500 0.000 0.000
Pb 0.500 0.500 0.717
O 0.000 0.500 0.500
O 0.000 0.000 0.754
Nb 0.000 0.000 0.000
O 0.000 0.500 0.000

**Polymorph energy (0 for the lowest one)**: 4 meV per atom
**Space-group type**: P4/mmm, No. 123